Entry 1:
The following is a DFT calculation (PBEsol) of a geometry-optimized LiPt2Rh structure.

CIF file:
```
data_LiPt2Rh
_chemical_formula_sum 'Li2 Pt4 Rh2'
_symmetry_space_group_name_H-M 'C m m m'
_symmetry_Int_Tables_number 65
_symmetry_space_group_name_Hall '-C 2 2'
_cell_length_a 5.3783
_cell_length_b 7.5794
_cell_length_c 2.6866
_cell_angle_alpha 90.00
_cell_angle_beta 90.00
_cell_angle_gamma 90.00
loop_
_atom_site_label
_atom_site_type_symbol
_atom_site_fract_x
_atom_site_fract_y
_atom_site_fract_z
Li1 Li 0.0000 0.0000 0.0000
Pt1 Pt 0.2500 0.2500 0.5000
Rh1 Rh 0.0000 0.5000 0.0000
```

Values from the calculation:
N(E_F) (states/eV per atom): 0.687
Calculated volume (Å³/f.u.): 54.8
ΔE_f (eV/atom): -0.368
Magnetic moment (μB/f.u.): 0.0



Entry 2:
The following is a DFT calculation (PBEsol) of a geometry-optimized Li2RuPt structure.

CIF file:
```
data_Li2RuPt
_chemical_formula_sum 'Li8 Ru4 Pt4'
_symmetry_space_group_name_H-M 'I -4 2 d'
_symmetry_Int_Tables_number 122
_symmetry_space_group_name_Hall 'I -4 2bw'
_cell_length_a 6.7018
_cell_length_b 6.7018
_cell_length_c 4.8918
_cell_angle_alpha 90.00
_cell_angle_beta 90.00
_cell_angle_gamma 90.00
loop_
_atom_site_label
_atom_site_type_symbol
_atom_site_fract_x
_atom_site_fract_y
_atom_site_fract_z
Li1 Li 0.2456 0.7500 0.1250
Ru1 Ru 0.0000 0.0000 0.5000
Pt1 Pt 0.0000 0.0000 0.0000
```

Values from the calculation:
N(E_F) (states/eV per atom): 0.638
Calculated volume (Å³/f.u.): 54.9
ΔE_f (eV/atom): 0.447
Magnetic moment (μB/f.u.): 0.0



Entry 3:
The following is a DFT calculation (PBEsol) of a geometry-optimized Li2RuPt structure.

CIF file:
```
data_Li2RuPt
_chemical_formula_sum 'Li4 Ru2 Pt2'
_symmetry_space_group_name_H-M 'C m m m'
_symmetry_Int_Tables_number 65
_symmetry_space_group_name_Hall '-C 2 2'
_cell_length_a 2.7279
_cell_length_b 4.4672
_cell_length_c 8.7905
_cell_angle_alpha 90.00
_cell_angle_beta 90.00
_cell_angle_gamma 90.00
loop_
_atom_site_label
_atom_site_type_symbol
_atom_site_fract_x
_atom_site_fract_y
_atom_site_fract_z
Li1 Li 0.0000 0.0000 0.2481
Ru1 Ru 0.0000 0.5000 0.5000
Pt1 Pt 0.0000 0.5000 0.0000
```

Values from the calculation:
N(E_F) (states/eV per atom): 0.539
Calculated volume (Å³/f.u.): 53.6
ΔE_f (eV/atom): -0.127
Magnetic moment (μB/f.u.): 0.0



Entry 4:
The following is a DFT calculation (PBEsol) of a geometry-optimized LiRuPt2 structure.

CIF file:
```
data_LiRuPt2
_chemical_formula_sum 'Li2 Ru2 Pt4'
_symmetry_space_group_name_H-M 'C m m m'
_symmetry_Int_Tables_number 65
_symmetry_space_group_name_Hall '-C 2 2'
_cell_length_a 5.3976
_cell_length_b 7.6101
_cell_length_c 2.6609
_cell_angle_alpha 90.00
_cell_angle_beta 90.00
_cell_angle_gamma 90.00
loop_
_atom_site_label
_atom_site_type_symbol
_atom_site_fract_x
_atom_site_fract_y
_atom_site_fract_z
Li1 Li 0.0000 0.0000 0.0000
Ru1 Ru 0.0000 0.5000 0.0000
Pt1 Pt 0.2500 0.2500 0.5000
```

Values from the calculation:
N(E_F) (states/eV per atom): 0.756
Calculated volume (Å³/f.u.): 54.6
ΔE_f (eV/atom): -0.264
Magnetic moment (μB/f.u.): 0.0